(1)
The following is a DFT calculation (GGA-PBE) of a relaxed Pm4Ho5Th3 crystal.

a = 6.0200 Å, b = 8.5311 Å, c = 9.7420 Å
α = 104.70°, β = 72.00°, γ = 69.34°
With the nearest neighbours (Å) after each atom.
Fractional coordinates of all 12 atoms:
Th 0.5301 0.6805 0.2593  5 Ho 3.11-3.45, 2 Pm 3.37-3.38
Th 0.4699 0.3195 0.7407  5 Ho 3.11-3.45, 2 Pm 3.37-3.38
Th 0.0000 0.5000 0.5000  2 Ho 3.01
Pm 0.8287 0.9585 0.3841  3 Th 3.38-3.64, 3 Pm 3.60-3.67, 3 Ho 3.69-3.72
Pm 0.1360 0.7771 0.9510  2 Pm 3.29-3.67, 1 Th 3.37, 3 Ho 3.48
Pm 0.8640 0.2229 0.0490  2 Pm 3.29-3.67, 1 Th 3.37, 3 Ho 3.48
Pm 0.1713 0.0415 0.6159  3 Th 3.38-3.64, 3 Pm 3.60-3.67, 3 Ho 3.69-3.72
Ho 0.7912 0.5390 0.8785  4 Th 3.24-3.45, 3 Pm 3.48, 1 Ho 3.60
Ho 0.6275 0.9451 0.7999  2 Th 3.25-3.51, 2 Ho 3.45-3.60
Ho 0.5000 0.5000 0.5000  4 Th 3.01-3.11
Ho 0.3725 0.0549 0.2001  2 Th 3.25-3.51, 2 Ho 3.45-3.60
Ho 0.2088 0.4610 0.1215  4 Th 3.24-3.45, 3 Pm 3.48, 1 Ho 3.60

**ΔH_f (0 K)**: 0.30 eV per atom
**M_tot**: 0.00 Bohr magnetons per cell
**Space-group type**: No. 12

=====

(2)
The following is a DFT calculation (GGA-PBE) of a relaxed PmHoTh2 crystal.

a = 3.4979 Å, b = 3.4979 Å, c = 12.5865 Å
α = 82.01°, β = 82.01°, γ = 60.00°
With the nearest neighbours (Å) after each atom.
Fractional coordinates of all 4 atoms:
Pm 0.0000 0.0000 0.0000  2 Th 3.29, 6 Pm 3.50
Th 0.0882 0.0882 0.7355  1 Pm 3.29, 6 Th 3.50, 3 Ho 3.55
Th 0.9118 0.9118 0.2645  1 Pm 3.29, 6 Th 3.50, 3 Ho 3.55
Ho 0.5000 0.5000 0.5000  6 Ho 3.50, 6 Th 3.55

**ΔH_f (0 K)**: 0.20 eV per atom
**M_tot**: 0.00 Bohr magnetons per cell
**Offset from the most stable computed form**: 166 meV/atom
**Space-group type**: No. 166

=====

(3)
The following is a DFT calculation (GGA-PBE) of a relaxed PmHo2Th crystal.

a = 3.6031 Å, b = 6.2213 Å, c = 12.0015 Å
α = 90.05°, β = 107.53°, γ = 89.97°
With the nearest neighbours (Å) after each atom.
Fractional coordinates of all 8 atoms:
Pm 0.5063 0.3024 0.8012  6 Ho 3.59-3.60, 6 Pm 3.59-3.60
Pm 0.0066 0.8025 0.8012  6 Ho 3.59-3.60, 6 Pm 3.59-3.60
Ho 0.2622 0.1359 0.0574  3 Th 3.48, 3 Pm 3.59-3.60, 6 Ho 3.59-3.60
Ho 0.7506 0.4691 0.5450  3 Th 3.48, 3 Pm 3.59-3.60, 6 Ho 3.59-3.60
Ho 0.7622 0.6358 0.0573  3 Th 3.48, 3 Pm 3.59-3.60, 6 Ho 3.59-3.60
Ho 0.2506 0.9691 0.5450  3 Th 3.48, 3 Pm 3.59-3.60, 6 Ho 3.59-3.60
Th 0.5063 0.8024 0.3011  6 Ho 3.48, 6 Th 3.59-3.60
Th 0.0065 0.3025 0.3012  6 Ho 3.48, 6 Th 3.59-3.60

**ΔH_f (0 K)**: 0.00 eV per atom
**M_tot**: 0.00 Bohr magnetons per cell
**Offset from the most stable computed form**: 0 meV/atom
**Space-group type**: No. 12

=====

(4)
The following is a DFT calculation (GGA-PBE) of a relaxed Pm5Ho4Th crystal.

a = 3.5737 Å, b = 10.5529 Å, c = 9.2709 Å
α = 83.42°, β = 101.11°, γ = 90.00°
With the nearest neighbours (Å) after each atom.
Fractional coordinates of all 10 atoms:
Pm 0.1390 0.7773 0.2781  2 Ho 3.42-3.74, 2 Pm 3.57, 2 Th 3.70
Pm 0.5000 0.5000 0.0000  4 Ho 3.31, 2 Pm 3.57
Pm 0.8610 0.2227 0.7219  2 Ho 3.42-3.74, 2 Pm 3.57, 2 Th 3.70
Pm 0.8102 0.5960 0.6204  1 Ho 3.28, 4 Pm 3.57-3.62
Pm 0.1898 0.4040 0.3796  1 Ho 3.28, 4 Pm 3.57-3.62
Ho 0.6808 0.0838 0.3616  6 Ho 3.29-3.57, 1 Th 3.50
Ho 0.9524 0.7608 0.9049  4 Pm 3.28-3.42, 2 Th 3.29, 4 Ho 3.29-3.57
Ho 0.0476 0.2392 0.0951  4 Pm 3.28-3.42, 2 Th 3.29, 4 Ho 3.29-3.57
Ho 0.3192 0.9162 0.6384  6 Ho 3.29-3.57, 1 Th 3.50
Th 0.5000 0.0000 0.0000  6 Ho 3.29-3.50, 2 Th 3.57

**ΔH_f (0 K)**: 0.15 eV per atom
**M_tot**: 0.00 Bohr magnetons per cell
**Offset from the most stable computed form**: 114 meV/atom
**Space-group type**: No. 12

=====

Question: Among the records above, which one has the lowest ΔH_f (0 K)?
Answer: PmHo2Th